4
Lattice="1.3963 0.8062 9.6363 -1.3963 0.8062 9.6363 0.0000 -1.6123 9.6363" Properties=species:S:1:pos:R:3 comment="LiTc2Hg (PBE-GGA, relaxed)" spacegroup=R-3m total_magnetization_mub_per_cell=0.890 energy_ev_per_atom=-5.09 pbc="T T T"
Li 0.0000 0.0000 0.0000
Tc 0.0000 0.0000 7.2949
Tc 0.0000 0.0000 21.6139
Hg 0.0000 0.0000 14.4544